# 1
KYOs | SCAN | PBEsol geometry

```
KYOs
1.0
3.403 0.000 0.000
0.000 3.403 0.000
-1.701 -1.701 7.605
K Os Y
1 1 1
Direct
0.965 0.965 0.929 K
0.312 0.312 0.625 Os
0.723 0.723 0.446 Y
```

Energy relative to the lowest polymorph listed for this composition (kJ/mol of atoms): 0.0
Space group: I4mm, No. 107

# 2
KYOs | SCAN | PBEsol geometry

```
KYOs
1.0
4.644 0.000 0.000
2.322 4.022 0.000
2.322 1.341 3.792
Y K Os
1 1 1
Direct
0.500 0.500 0.500 Y
0.250 0.250 0.250 K
0.000 0.000 0.000 Os
```

Energy relative to the lowest polymorph listed for this composition (kJ/mol of atoms): 129.2
Space group: F-43m, No. 216

| no. | calculated formation energy (eV per atom) |
| --- | --- |
| 1 | 0.538 |
| 2 | 1.877 |